VASP calculation (PBE) on a relaxed CsCuTePbSe2 crystal.

a = 8.700 Å, b = 8.700 Å, c = 11.850 Å
α = 90.00°, β = 90.00°, γ = 152.79°
Atoms (fractional coordinates):
Te: 0.556 0.444 0.750
Cs: 0.253 0.747 0.750
Se: 0.886 0.114 0.928
Cu: 0.954 0.046 0.750
Cs: 0.747 0.253 0.250
Te: 0.444 0.556 0.250
Se: 0.886 0.114 0.572
Pb: 0.500 0.500 0.000
Pb: 0.500 0.500 0.500
Cu: 0.046 0.954 0.250
Se: 0.114 0.886 0.428
Se: 0.114 0.886 0.072

Output
Total energy = -3.4876 eV per atom
Volume = 410.14 Å³/cell

***

VASP calculation (PBE) on a relaxed Pr crystal.

a = 3.696 Å, b = 3.741 Å, c = 6.023 Å
α = 90.00°, β = 90.00°, γ = 60.40°
Atoms (fractional coordinates):
Pr: 0.841 0.317 0.250
Pr: 0.159 0.683 0.750

Output
Formation enthalpy at 0 K = 28 meV per atom
ΔE to the lowest computed polymorph = 28.3 meV per atom
Volume = 72.42 Å³/cell

***

VASP calculation (PBE) on a relaxed KSnAuSe3 crystal.

a = 15.380 Å, b = 4.154 Å, c = 11.105 Å
α = 90.00°, β = 90.00°, γ = 90.00°
Atoms (fractional coordinates):
K: 0.768 0.250 0.505
Se: 0.096 0.750 0.052
Se: 0.614 0.250 0.741
K: 0.732 0.750 0.005
Se: 0.895 0.750 0.664
Au: 0.558 0.250 0.952
Se: 0.395 0.750 0.836
Se: 0.886 0.750 0.241
Sn: 0.491 0.250 0.342
Sn: 0.009 0.750 0.842
Au: 0.442 0.750 0.048
Au: 0.058 0.250 0.548
Sn: 0.509 0.750 0.658
Se: 0.605 0.250 0.164
Sn: 0.991 0.250 0.158
Se: 0.105 0.250 0.336
Au: 0.942 0.750 0.452
Se: 0.596 0.750 0.448
Se: 0.114 0.250 0.759
Se: 0.386 0.750 0.259
Se: 0.904 0.250 0.948
Se: 0.404 0.250 0.552
K: 0.232 0.750 0.495
K: 0.268 0.250 0.995

Output
ΔE to the lowest computed polymorph = 16.5 meV per atom
Volume = 709.44 Å³/cell

***

VASP calculation (PBE) on a relaxed K2LiCuCl6 crystal.

a = 6.858 Å, b = 6.858 Å, c = 6.858 Å
α = 120.06°, β = 120.06°, γ = 89.89°
Atoms (fractional coordinates):
Cl: 0.744 0.744 0.000
Cl: 0.750 0.737 0.487
Cl: 0.263 0.750 0.014
K: 0.250 0.750 0.500
K: 0.750 0.250 0.500
Cl: 0.256 0.256 0.000
Li: 0.000 0.000 0.000
Cl: 0.737 0.250 0.986
Cu: 0.500 0.500 0.000
Cl: 0.250 0.263 0.513

Output
Total energy = -3.1186 eV per atom
Volume = 227.91 Å³/cell

***

VASP calculation (PBE) on a relaxed Pr2Si4IrPd crystal.

a = 4.257 Å, b = 8.681 Å, c = 8.681 Å
α = 28.62°, β = 90.00°, γ = 90.00°
Atoms (fractional coordinates):
Ir: 0.500 0.680 0.680
Pr: 0.000 0.104 0.104
Si: 0.000 0.465 0.465
Si: 0.000 0.748 0.748
Pr: 0.500 0.895 0.895
Pd: 0.000 0.322 0.322
Si: 0.500 0.539 0.539
Si: 0.500 0.248 0.248

Output
Total energy = -6.5504 eV per atom
Volume = 153.62 Å³/cell

***

VASP calculation (PBE) on a relaxed TbNd5In2 crystal.

a = 7.026 Å, b = 14.051 Å, c = 4.952 Å
α = 90.00°, β = 90.00°, γ = 90.00°
Atoms (fractional coordinates):
Nd: 0.996 0.752 0.000
In: 0.245 0.877 0.500
Nd: 0.000 0.500 0.000
Nd: 0.748 0.876 0.500
In: 0.755 0.123 0.500
Nd: 0.500 0.000 0.000
Nd: 0.004 0.248 0.000
In: 0.255 0.377 0.500
Tb: 0.000 0.000 0.000
Nd: 0.248 0.624 0.500
Nd: 0.504 0.252 0.000
In: 0.745 0.623 0.500
Nd: 0.752 0.376 0.500
Nd: 0.252 0.124 0.500
Nd: 0.496 0.748 0.000
Tb: 0.500 0.500 0.000

Output
Total energy = -4.5185 eV per atom
Volume = 488.85 Å³/cell

***

VASP calculation (PBE) on a relaxed Sm3Ho5Te crystal.

a = 9.286 Å, b = 9.286 Å, c = 3.763 Å
α = 90.00°, β = 90.00°, γ = 120.00°
Atoms (fractional coordinates):
Sm: 0.617 0.000 0.000
Ho: 0.667 0.333 0.500
Ho: 0.729 0.729 0.500
Ho: 0.000 0.271 0.500
Ho: 0.271 0.000 0.500
Sm: 0.000 0.617 0.000
Te: 0.000 0.000 0.000
Ho: 0.333 0.667 0.500
Sm: 0.383 0.383 0.000

Output
Total energy = -4.7396 eV per atom
Volume = 281.01 Å³/cell

***

VASP calculation (PBE) on a relaxed AgB2Sb crystal.

a = 4.481 Å, b = 4.481 Å, c = 4.481 Å
α = 60.00°, β = 60.00°, γ = 60.00°
Atoms (fractional coordinates):
B: 0.000 0.000 0.000
Ag: 0.250 0.250 0.250
Sb: 0.500 0.500 0.500
B: 0.750 0.750 0.750

Output
Total energy = -3.3582 eV per atom
Volume = 63.61 Å³/cell

***

VASP calculation (PBE) on a relaxed TaAlFeMo crystal.

a = 4.374 Å, b = 4.374 Å, c = 4.374 Å
α = 60.00°, β = 60.00°, γ = 60.00°
Atoms (fractional coordinates):
Al: 0.000 0.000 0.000
Fe: 0.750 0.750 0.750
Mo: 0.250 0.250 0.250
Ta: 0.500 0.500 0.500

Output
ΔE to the lowest computed polymorph = 0.0 meV per atom
Volume = 59.17 Å³/cell

***

VASP calculation (PBE) on a relaxed Ba2TcPdO6 crystal.

a = 3.715 Å, b = 3.715 Å, c = 10.805 Å
α = 90.00°, β = 90.00°, γ = 90.00°
Site moments in Bohr magnetons follow the coordinates.
Atoms (fractional coordinates):
Ba: 0.500 0.500 0.730  0.02
O: 0.500 0.500 0.000  1.49
O: 0.000 0.500 0.110  0.27
O: 0.000 0.500 0.890  0.27
Pd: 0.000 0.000 0.500  -0.01
Ba: 0.500 0.500 0.270  0.02
Tc: 0.000 0.000 0.000  0.25
O: 0.500 0.500 0.500  0.01
O: 0.500 0.000 0.110  0.26
O: 0.500 0.000 0.890  0.26

Output
Total energy = -5.4859 eV per atom
Volume = 149.08 Å³/cell

***

VASP calculation (PBE) on a relaxed Tb4HoAg5 crystal.

a = 3.629 Å, b = 3.629 Å, c = 18.190 Å
α = 90.00°, β = 90.00°, γ = 90.00°
Atoms (fractional coordinates):
Ag: 0.500 0.500 0.701
Tb: 0.000 0.000 0.600
Ag: 0.500 0.500 0.098
Tb: 0.000 0.000 0.400
Ho: 0.000 0.000 0.000
Ag: 0.500 0.500 0.500
Tb: 0.000 0.000 0.199
Ag: 0.500 0.500 0.299
Ag: 0.500 0.500 0.902
Tb: 0.000 0.000 0.801

Output
Formation enthalpy at 0 K = -330 meV per atom
Volume = 239.51 Å³/cell

***

VASP calculation (PBE) on a relaxed ErHfSi2 crystal.

a = 5.456 Å, b = 3.770 Å, c = 7.336 Å
α = 90.00°, β = 91.44°, γ = 90.00°
Atoms (fractional coordinates):
Si: 0.867 0.250 0.454
Si: 0.642 0.250 0.965
Hf: 0.116 0.250 0.825
Si: 0.133 0.750 0.546
Si: 0.358 0.750 0.035
Hf: 0.884 0.750 0.175
Er: 0.375 0.250 0.320
Er: 0.625 0.750 0.680

Output
ΔE to the lowest computed polymorph = 20.8 meV per atom
Volume = 150.85 Å³/cell

***

VASP calculation (PBE) on a relaxed Pm2Bi crystal.

a = 6.427 Å, b = 6.427 Å, c = 6.427 Å
α = 60.00°, β = 60.00°, γ = 60.00°
Atoms (fractional coordinates):
Pm: 0.625 0.625 0.625
Pm: 0.625 0.625 0.125
Pm: 0.625 0.125 0.625
Bi: 0.250 0.250 0.250
Pm: 0.125 0.625 0.625
Bi: 0.000 0.000 0.000

Output
ΔE to the lowest computed polymorph = 0.0 meV per atom
Volume = 187.72 Å³/cell

***

VASP calculation (PBE) on a relaxed ZnS crystal.

a = 3.836 Å, b = 3.836 Å, c = 81.518 Å
α = 88.65°, β = 91.35°, γ = 120.00°
Atoms (fractional coordinates):
Zn: 0.397 0.603 0.192
S: 0.952 0.048 0.856
Zn: 0.538 0.462 0.615
Zn: 0.115 0.885 0.346
S: 0.426 0.574 0.279
Zn: 0.192 0.808 0.577
Zn: 0.603 0.397 0.808
Zn: 0.641 0.359 0.923
Zn: 0.718 0.282 0.154
Zn: 0.885 0.115 0.654
S: 0.183 0.817 0.548
Zn: 0.462 0.539 0.385
S: 0.631 0.369 0.894
S: 0.593 0.407 0.779
S: 0.747 0.253 0.240
Zn: 0.564 0.436 0.692
S: 0.529 0.471 0.587
Zn: 0.846 0.154 0.538
S: 0.452 0.548 0.356
S: 0.067 0.933 0.202
Zn: 0.026 0.974 0.077
Zn: 0.500 0.500 0.500
S: 0.272 0.728 0.817
S: 0.490 0.510 0.471
S: 0.311 0.689 0.933
S: 0.555 0.446 0.663
S: 0.913 0.087 0.740
Zn: 0.808 0.192 0.423
S: 0.106 0.894 0.317
Zn: 0.962 0.038 0.885
Zn: 0.282 0.718 0.846
S: 0.016 0.984 0.048
Zn: 0.436 0.564 0.308
Zn: 0.244 0.756 0.731
S: 0.990 0.010 0.971
S: 0.708 0.292 0.125
Zn: 0.372 0.628 0.115
Zn: 0.077 0.923 0.231
S: 0.875 0.125 0.625
S: 0.144 0.856 0.433
S: 0.234 0.766 0.702
S: 0.837 0.163 0.510
Zn: 0.679 0.320 0.038
S: 0.670 0.330 0.010
Zn: 0.923 0.077 0.769
S: 0.362 0.638 0.087
S: 0.388 0.612 0.163
Zn: 0.320 0.679 0.962
S: 0.798 0.202 0.394
Zn: 0.154 0.846 0.462
Zn: 0.756 0.244 0.269
Zn: 0.000 0.000 0.000

Output
Total energy = -3.5080 eV per atom
Volume = 1038.32 Å³/cell

***

VASP calculation (PBE) on a relaxed YErPbC crystal.

a = 3.627 Å, b = 3.627 Å, c = 16.021 Å
α = 90.00°, β = 90.00°, γ = 120.00°
Atoms (fractional coordinates):
Pb: 0.667 0.333 0.249
C: 0.000 0.000 0.002
Er: 0.667 0.333 0.582
Pb: 0.333 0.667 0.749
Y: 0.667 0.333 0.917
Y: 0.333 0.667 0.417
C: 0.000 0.000 0.502
Er: 0.333 0.667 0.082

Output
Total energy = -6.5049 eV per atom
Volume = 182.54 Å³/cell

***

VASP calculation (PBE) on a relaxed Gd2TmCu4Ge4 crystal.

a = 8.021 Å, b = 8.021 Å, c = 8.021 Å
α = 149.45°, β = 131.11°, γ = 58.76°
Atoms (fractional coordinates):
Tm: 0.000 0.000 0.000
Gd: 0.369 0.869 0.500
Ge: 0.306 0.500 0.806
Ge: 0.694 0.500 0.194
Cu: 0.979 0.669 0.311
Cu: 0.358 0.669 0.689
Cu: 0.021 0.331 0.689
Ge: 0.215 0.215 0.000
Cu: 0.642 0.331 0.311
Ge: 0.785 0.785 0.000
Gd: 0.631 0.131 0.500

Output
Total energy = -4.9111 eV per atom
Volume = 196.12 Å³/cell

***

VASP calculation (PBE) on a relaxed PrGd2Cu4Sn4 crystal.

a = 8.510 Å, b = 8.510 Å, c = 8.510 Å
α = 149.31°, β = 131.27°, γ = 58.70°
Atoms (fractional coordinates):
Cu: 0.983 0.670 0.313
Gd: 0.632 0.132 0.500
Sn: 0.301 0.500 0.801
Pr: 0.000 0.000 0.000
Sn: 0.783 0.783 0.000
Cu: 0.358 0.670 0.687
Gd: 0.368 0.868 0.500
Cu: 0.642 0.330 0.313
Cu: 0.017 0.330 0.687
Sn: 0.699 0.500 0.199
Sn: 0.217 0.217 0.000

Output
Total energy = -4.6112 eV per atom
Volume = 234.61 Å³/cell

***

VASP calculation (PBE) on a relaxed Gd3DyB2Pb2 crystal.

a = 3.729 Å, b = 3.729 Å, c = 16.827 Å
α = 90.00°, β = 90.00°, γ = 120.00°
Site moments in Bohr magnetons follow the coordinates.
Atoms (fractional coordinates):
Dy: 0.333 0.667 0.089  0.15
B: 0.000 0.000 0.001  0.20
Pb: 0.333 0.667 0.750  0.01
Pb: 0.667 0.333 0.248  0.01
B: 0.000 0.000 0.500  0.16
Gd: 0.667 0.333 0.912  0.14
Gd: 0.333 0.667 0.410  0.10
Gd: 0.667 0.333 0.590  0.10

Output
Total energy = -5.0891 eV per atom
Volume = 202.60 Å³/cell

***

VASP calculation (PBE) on a relaxed ScPOsO crystal.

a = 3.944 Å, b = 3.944 Å, c = 7.293 Å
α = 90.00°, β = 90.00°, γ = 90.00°
Atoms (fractional coordinates):
P: 0.500 0.500 0.328
Os: 0.500 0.000 0.500
Os: 0.000 0.500 0.500
P: 0.000 0.000 0.672
Sc: 0.500 0.500 0.884
O: 0.000 0.500 0.000
O: 0.500 0.000 0.000
Sc: 0.000 0.000 0.116

Output
ΔE to the lowest computed polymorph = 0.0 meV per atom
Volume = 113.45 Å³/cell

***

VASP calculation (PBE) on a relaxed Pr3Mg3InPd2 crystal.

a = 7.592 Å, b = 7.592 Å, c = 4.459 Å
α = 90.00°, β = 90.00°, γ = 120.00°
Atoms (fractional coordinates):
Pr: 0.573 0.573 0.000
Pd: 0.667 0.333 0.500
Pr: 0.000 0.427 0.000
Pd: 0.333 0.667 0.500
Mg: 0.750 0.000 0.500
Mg: 0.250 0.250 0.500
Mg: 0.000 0.750 0.500
Pr: 0.427 0.000 0.000
In: 0.000 0.000 0.000

Output
Total energy = -4.0732 eV per atom
Volume = 222.61 Å³/cell